The following is a DFT calculation (PBEsol) of a relaxed Cs crystal.

**Offset from the most stable computed form**: 9 meV per atom

a b c (Å): 9.8258 9.8258 9.8258
angles (deg): 90.00 90.00 90.00
Positions (direct):
Cs1 0.0000 0.2500 0.5000
Cs2 0.0000 0.7500 0.5000
Cs3 0.2500 0.5000 0.0000
Cs4 0.5000 0.0000 0.2500
Cs5 0.0000 0.0000 0.0000
Cs6 0.5000 0.0000 0.7500
Cs7 0.7500 0.5000 0.0000
Cs8 0.5000 0.5000 0.5000

***

The following is a DFT calculation (PBEsol) of a relaxed MgMn3Si crystal.

**Offset from the most stable computed form**: 0 meV per atom
**Formation energy (no corrections)**: 0.575 eV per atom

a b c (Å): 4.3837 4.3837 4.3837
angles (deg): 90.00 90.00 90.00
Positions (direct):
Mn1 0.0000 0.0000 0.5000
Mn2 0.0000 0.5000 0.0000
Mn3 0.5000 0.0000 0.0000
Mg1 0.5000 0.5000 0.5000
Si1 0.0000 0.0000 0.0000

***

The following is a DFT calculation (PBEsol) of a relaxed MgPb3I crystal.

**Formation energy (no corrections)**: 0.718 eV per atom

a b c (Å): 5.9032 5.9032 5.9032
angles (deg): 90.00 90.00 90.00
Positions (direct):
Pb1 0.5000 0.0000 0.0000
Pb2 0.0000 0.0000 0.5000
Pb3 0.0000 0.5000 0.0000
Mg1 0.5000 0.5000 0.5000
I1 0.0000 0.0000 0.0000

***

The following is a DFT calculation (PBEsol) of a relaxed Cs3SiHg crystal.

**Formation energy (no corrections)**: 0.499 eV per atom

a b c (Å): 6.7727 6.7727 6.7727
angles (deg): 90.00 90.00 90.00
Positions (direct):
Cs1 0.0000 0.5000 0.0000
Cs2 0.5000 0.0000 0.0000
Cs3 0.0000 0.0000 0.5000
Si1 0.5000 0.5000 0.5000
Hg1 0.0000 0.0000 0.0000

***

The following is a DFT calculation (PBEsol) of a relaxed KSiIr2 crystal.

**Formation energy (no corrections)**: 0.924 eV per atom

a b c (Å): 2.8046 4.6532 4.9618
angles (deg): 90.00 90.00 90.00
Positions (direct):
Ir1 0.0000 0.0000 0.0000
Ir2 0.5000 0.0000 0.5000
K1 0.5000 0.5000 0.0000
Si1 0.0000 0.5000 0.5000

***

The following is a DFT calculation (PBEsol) of a relaxed NaFeO2 crystal.

**Formation energy (no corrections)**: -1.396 eV per atom

a b c (Å): 2.8891 2.8891 5.4352
angles (deg): 74.59 74.59 60.00
Positions (direct):
Na1 0.5000 0.5000 0.5000
O1 0.7302 0.7302 0.8093
O2 0.2698 0.2698 0.1907
Fe1 0.0000 0.0000 0.0000

***

The following is a DFT calculation (PBEsol) of a relaxed PPb2Cl crystal.

**Offset from the most stable computed form**: 175 meV per atom
**Formation energy (no corrections)**: -0.224 eV per atom

a b c (Å): 4.1959 4.1959 6.2306
angles (deg): 90.00 90.00 90.00
Positions (direct):
Cl1 0.0000 0.0000 0.3694
P1 0.5000 0.5000 0.8344
Pb1 0.5000 0.5000 0.4161
Pb2 0.0000 0.0000 0.8800

***

The following is a DFT calculation (PBEsol) of a relaxed Si5P6O25 crystal.

**Formation energy (no corrections)**: -2.443 eV per atom

a b c (Å): 7.8957 7.8957 9.2825
angles (deg): 64.83 64.83 60.00
Positions (direct):
O1 0.0255 0.7499 0.1218
O2 0.7499 0.1027 0.1218
O3 0.0959 0.4277 0.3343
O4 0.8579 0.9041 0.6657
O5 0.4277 0.1421 0.3343
O6 0.5921 0.2087 0.7709
O7 0.9745 0.2501 0.8782
O8 0.0752 0.7791 0.4128
O9 0.9041 0.5723 0.6657
O10 0.5723 0.8579 0.6657
O11 0.4283 0.5921 0.7709
O12 0.4079 0.7913 0.2291
O13 0.2671 0.9248 0.5872
O14 0.2501 0.8973 0.8782
O15 0.2209 0.2671 0.5872
O16 0.8973 0.9745 0.8782
O17 0.7791 0.7329 0.4128
O18 0.7329 0.0752 0.4128
O19 0.1421 0.0959 0.3343
O20 0.5717 0.4079 0.2291
O21 0.1027 0.0255 0.1218
O22 0.5000 0.5000 0.5000
O23 0.9248 0.2209 0.5872
O24 0.2087 0.4283 0.7709
O25 0.7913 0.5717 0.2291
Si1 0.8200 0.8200 0.5399
Si2 0.4340 0.4340 0.6980
Si3 0.5660 0.5660 0.3020
Si4 0.1800 0.1800 0.4601
Si5 0.0000 0.0000 0.0000
P1 0.8267 0.0733 0.7226
P2 0.3774 0.8267 0.7226
P3 0.6226 0.1733 0.2774
P4 0.1733 0.9267 0.2774
P5 0.0733 0.3774 0.7226
P6 0.9267 0.6226 0.2774

***

The following is a DFT calculation (PBEsol) of a relaxed NbTeF2 crystal.

**Formation energy (no corrections)**: -1.449 eV per atom

a b c (Å): 2.9379 2.9379 10.4276
angles (deg): 81.90 81.90 60.00
Positions (direct):
F1 0.1193 0.1193 0.6420
F2 0.8807 0.8807 0.3580
Te1 0.0000 0.0000 0.0000
Nb1 0.5000 0.5000 0.5000

***

The following is a DFT calculation (PBEsol) of a relaxed LiScMo2 crystal.

**Offset from the most stable computed form**: 174 meV per atom

a b c (Å): 2.8193 2.8193 10.0969
angles (deg): 81.97 81.97 60.00
Positions (direct):
Sc1 0.4945 0.4945 0.5166
Mo1 0.7468 0.7468 0.7596
Mo2 0.0035 0.0035 0.9896
Li1 0.2553 0.2553 0.2342

***

The following is a DFT calculation (PBEsol) of a relaxed KBRu3 crystal.

**Electronic total energy**: -33.9 eV per cell

a b c (Å): 4.1983 4.1983 4.1983
angles (deg): 90.00 90.00 90.00
Positions (direct):
K1 0.5000 0.5000 0.5000
Ru1 0.0000 0.0000 0.5000
Ru2 0.0000 0.5000 0.0000
Ru3 0.5000 0.0000 0.0000
B1 0.0000 0.0000 0.0000

***

The following is a DFT calculation (PBEsol) of a relaxed Cd2TePb crystal.

**Offset from the most stable computed form**: 50 meV per atom
**Formation energy (no corrections)**: 0.031 eV per atom

a b c (Å): 3.9585 3.9585 6.6104
angles (deg): 90.00 90.00 89.97
Positions (direct):
Cd1 0.0000 0.0000 0.7615
Cd2 0.0000 0.0000 0.2385
Te1 0.5000 0.5000 0.0000
Pb1 0.5000 0.5000 0.5000

***

The following is a DFT calculation (PBEsol) of a relaxed Sr2BiSbO6 crystal.

**Formation energy (no corrections)**: -1.997 eV per atom

a b c (Å): 5.9895 5.9895 5.9895
angles (deg): 60.00 60.00 60.00
Positions (direct):
Sb1 0.5000 0.5000 0.5000
O1 0.2660 0.2660 0.7340
O2 0.7340 0.2660 0.2660
O3 0.2660 0.7340 0.7340
O4 0.7340 0.2660 0.7340
O5 0.7340 0.7340 0.2660
O6 0.2660 0.7340 0.2660
Sr1 0.7500 0.7500 0.7500
Sr2 0.2500 0.2500 0.2500
Bi1 0.0000 0.0000 0.0000

***

The following is a DFT calculation (PBEsol) of a relaxed TaFeNi2 crystal.

**Electronic total energy**: -34.9 eV per cell

a b c (Å): 3.5603 3.5603 3.7333
angles (deg): 90.00 90.00 90.00
Positions (direct):
Ni1 0.5000 0.0000 0.0000
Ni2 0.0000 0.5000 0.0000
Ta1 0.5000 0.5000 0.5000
Fe1 0.0000 0.0000 0.5000

***

The following is a DFT calculation (PBEsol) of a relaxed Tc5Rh crystal.

**Offset from the most stable computed form**: 7 meV per atom

a b c (Å): 2.7066 5.1022 6.4072
angles (deg): 103.24 90.00 105.38
Positions (direct):
Tc1 0.3341 0.6682 0.6630
Tc2 0.7223 0.4445 0.9454
Tc3 0.6656 0.3312 0.3321
Tc4 0.0554 0.1108 0.6129
Tc5 0.3896 0.7791 0.2792
Rh1 0.9997 0.9995 0.0008

***

The following is a DFT calculation (PBEsol) of a relaxed Sr2Au crystal.

**Electronic total energy**: -27.2 eV per cell

a b c (Å): 4.8091 8.4563 8.4563
angles (deg): 120.00 90.00 90.00
Positions (direct):
Au1 0.0000 0.3333 0.6667
Au2 0.5000 0.0000 0.0000
Au3 0.0000 0.6667 0.3333
Sr1 0.5000 0.4082 0.4082
Sr2 0.0000 0.7417 0.7417
Sr3 0.0000 0.2583 0.0000
Sr4 0.5000 0.5918 0.0000
Sr5 0.5000 0.0000 0.5918
Sr6 0.0000 0.0000 0.2583

***

The following is a DFT calculation (PBEsol) of a relaxed AgIrCl2 crystal.

**Offset from the most stable computed form**: 0 meV per atom
**Formation energy (no corrections)**: 0.538 eV per atom

a b c (Å): 2.9402 4.0624 5.8709
angles (deg): 90.00 90.00 90.00
Positions (direct):
Cl1 0.0000 0.0000 0.0000
Cl2 0.5000 0.0000 0.5000
Ir1 0.5000 0.5000 0.0000
Ag1 0.0000 0.5000 0.5000

***

The following is a DFT calculation (PBEsol) of a relaxed AlAsRh4 crystal.

**Electronic total energy**: -40.9 eV per cell

a b c (Å): 5.0592 5.0592 5.0592
angles (deg): 60.00 60.00 60.00
Positions (direct):
Rh1 0.8755 0.3748 0.3748
Rh2 0.3748 0.8755 0.3748
Rh3 0.3748 0.3748 0.8755
Rh4 0.3748 0.3748 0.3748
As1 0.0000 0.0000 0.0000
Al1 0.7500 0.7500 0.7500

***

The following is a DFT calculation (PBEsol) of a relaxed Cd5Au crystal.

**Offset from the most stable computed form**: 13 meV per atom

a b c (Å): 3.1160 4.6986 8.1608
angles (deg): 90.00 101.01 90.00
Positions (direct):
Cd1 0.8911 0.5000 0.7823
Cd2 0.6618 0.0000 0.3236
Cd3 0.2231 0.5000 0.4463
Cd4 0.3390 0.0000 0.6780
Cd5 0.5515 0.5000 0.1029
Au1 0.0001 0.0000 0.0003

***

The following is a DFT calculation (PBEsol) of a relaxed Tb2Ga3Fe14C2 crystal.

**Electronic total energy**: -168.4 eV per cell

a b c (Å): 6.3701 6.3701 6.4006
angles (deg): 83.36 83.36 82.62
Positions (direct):
Fe1 0.3459 0.3459 0.8449
Fe2 0.6500 0.1526 0.6540
Fe3 0.7161 0.0022 0.2837
Fe4 0.2839 0.9978 0.7163
Fe5 0.9087 0.9087 0.9049
Fe6 0.7043 0.2957 0.0000
Fe7 0.8474 0.3500 0.3460
Fe8 0.0913 0.0913 0.0951
Fe9 0.6541 0.6541 0.1551
Fe10 0.2957 0.7043 0.0000
Fe11 0.3500 0.8474 0.3460
Fe12 0.9978 0.2839 0.7163
Fe13 0.1526 0.6500 0.6540
Fe14 0.0022 0.7161 0.2837
Ga1 0.0000 0.0000 0.5000
Ga2 0.5000 0.0000 0.0000
Ga3 0.0000 0.5000 0.0000
C1 0.5000 0.0000 0.5000
C2 0.0000 0.5000 0.5000
Tb1 0.6523 0.6523 0.6644
Tb2 0.3477 0.3477 0.3356